! LiNbBr3 PBE-GGA relaxed; values from VASP
&SYSTEM
  ibrav = 0, nat = 5, ntyp = 3
/
ATOMIC_SPECIES
Br 79.90 Br.upf
Nb 92.91 Nb.upf
Li 6.94 Li.upf
CELL_PARAMETERS angstrom
-0.141 5.187 1.543
1.206 -1.475 5.068
5.276 0.476 -1.117
ATOMIC_POSITIONS angstrom
Br 2.638 0.238 -0.559
Br -0.071 2.594 0.772
Br 0.603 -0.737 2.534
Nb 0.000 0.000 0.000
Li 3.170 2.094 2.747
! SG = Pm-3m (221)

---

! LiPu2Cl8 PBE-GGA relaxed; values from VASP
&SYSTEM
  ibrav = 0, nat = 11, ntyp = 3
/
ATOMIC_SPECIES
Cl 35.45 Cl.upf
Pu 244.00 Pu.upf
Li 6.94 Li.upf
CELL_PARAMETERS angstrom
-3.917 3.623 -1.209
-4.161 -5.716 -3.652
-5.059 -3.879 4.762
ATOMIC_POSITIONS angstrom
Cl -10.082 -1.922 2.144
Cl -7.540 -2.088 -0.349
Cl -4.474 -0.806 -0.302
Cl -9.518 -3.077 -3.145
Cl -3.055 -4.050 -2.243
Cl -3.620 -2.895 3.047
Cl -5.598 -3.884 0.250
Cl -8.664 -5.167 0.203
Pu -10.201 -2.918 -0.452
Pu -2.936 -3.054 0.353
Li 0.000 0.000 0.000
! SG = Cmmm (65)

---

Results for ΔE to the lowest computed polymorph: 0.000; 0.061 (in eV/atom, following the order of the records).
Results for raw formation energy: -0.50; -1.69 (in eV per atom, following the order of the records).